Entry 1:
The following is a DFT calculation (PBE) of a relaxed MgCrMo2Pt crystal. Values from VASP.

Structure (Quantum ESPRESSO input):
```
&SYSTEM
  ibrav = 0, nat = 5, ntyp = 4
/
ATOMIC_SPECIES
Cr 52.00 Cr.upf
Mg 24.30 Mg.upf
Mo 95.94 Mo.upf
Pt 195.08 Pt.upf
CELL_PARAMETERS angstrom
4.828 0.000 0.000
0.000 4.594 0.000
0.000 0.000 4.828
ATOMIC_POSITIONS angstrom
Cr 0.000 2.297 0.000
Mg 2.414 2.297 2.414
Mo 2.414 0.000 0.000
Mo 0.000 0.000 2.414
Pt 0.000 0.000 0.000
```

The total energy is -31.3 eV per cell. As for the calculated formation energy: 1525 meV/atom. The value obtained for the total magnetization is 0.5 μB per cell.

Entry 2:
The following is a DFT calculation (PBE) of a relaxed MgCrMoRu crystal. Values from VASP.

Structure (Quantum ESPRESSO input):
```
&SYSTEM
  ibrav = 0, nat = 4, ntyp = 4
/
ATOMIC_SPECIES
Ru 101.07 Ru.upf
Mg 24.30 Mg.upf
Mo 95.94 Mo.upf
Cr 52.00 Cr.upf
CELL_PARAMETERS angstrom
4.379 0.000 0.000
2.190 3.793 0.000
2.190 1.264 3.576
ATOMIC_POSITIONS angstrom
Ru 2.190 1.264 0.894
Mg 4.379 2.528 1.788
Mo 0.000 0.000 0.000
Cr 6.569 3.793 2.682
```

The total energy is -30.7 eV per cell. As for the calculated formation energy: 146 meV/atom. The value obtained for the total magnetization is 2.0 μB per cell.

- Which value of calculated formation energy does entry 1 give?
  1525 meV/atom